1.
AcNdCd6 | PBE-GGA | relaxed

```
AcNdCd6
1.0
5.002 0.000 0.000
0.000 3.686 5.820
0.000 -3.686 5.820
Ac Nd Cd
1 1 6
direct
0.000 0.000 0.000
0.500 0.712 0.712
0.000 0.052 0.480
0.000 0.480 0.052
0.000 0.529 0.529
0.500 0.197 0.197
0.500 0.237 0.649
0.500 0.649 0.237
```

2.
Ac3NdCd2 | PBE-GGA | relaxed

```
Ac3NdCd2
1.0
4.018 0.000 0.000
0.000 4.018 0.000
0.000 0.000 13.467
Ac Nd Cd
3 1 2
direct
0.000 0.000 0.000
0.000 0.000 0.308
0.000 0.000 0.692
0.500 0.500 0.500
0.500 0.500 0.157
0.500 0.500 0.843
```

no.,final energy (eV/cell),spin magnetization (μB per formula unit)
1,-16.601,0.000
2,-20.017,0.000